DFT (PBE-GGA) results for Rb3Ho2TmS6 after structural relaxation.

Unit cell a=7.015 b=7.015 c=8.029 alpha=98.37 beta=98.37 gamma=120.00
Sites, in units of the cell vectors:
1 Rb 0.167 0.833 0.500
2 Rb 0.833 0.167 0.500
3 Rb 0.500 0.500 0.500
4 Ho 0.333 0.667 0.000
5 Ho 0.667 0.333 0.000
6 Tm 0.000 0.000 0.000
7 S 0.937 0.605 0.809
8 S 0.732 0.732 0.191
9 S 0.063 0.395 0.191
10 S 0.605 0.937 0.809
11 S 0.268 0.268 0.809
12 S 0.395 0.063 0.191

Summary:
E_tot (eV per atom): -5.30

=====

DFT (PBE-GGA) results for Rb3HoTm2S6 after structural relaxation.

Unit cell a=6.994 b=6.994 c=8.025 alpha=98.35 beta=98.35 gamma=120.00
Sites, in units of the cell vectors:
1 Rb 0.166 0.834 0.500
2 Rb 0.834 0.166 0.500
3 Rb 0.500 0.500 0.500
4 Ho 0.000 0.000 0.000
5 Tm 0.333 0.667 0.000
6 Tm 0.667 0.333 0.000
7 S 0.937 0.601 0.810
8 S 0.728 0.728 0.190
9 S 0.063 0.399 0.190
10 S 0.601 0.937 0.810
11 S 0.272 0.272 0.810
12 S 0.399 0.063 0.190

Summary:
E_tot (eV per atom): -5.29

=====

DFT (PBE-GGA) results for Rb2HoTmS4 after structural relaxation.

Unit cell a=4.044 b=7.005 c=8.024 alpha=106.90 beta=90.00 gamma=90.00
Sites, in units of the cell vectors:
1 Rb 0.500 0.000 0.500
2 Rb 0.000 0.500 0.500
3 Ho 0.500 0.500 0.000
4 Tm 0.000 0.000 0.000
5 S 0.500 0.228 0.190
6 S 0.500 0.772 0.810
7 S 0.000 0.268 0.809
8 S 0.000 0.732 0.191

Summary:
E_tot (eV per atom): -5.29

=====

DFT (PBE-GGA) results for RbHoTm4S8 after structural relaxation.

Unit cell a=8.168 b=8.168 c=8.205 alpha=60.15 beta=60.15 gamma=60.00
Sites, in units of the cell vectors:
1 Rb 0.373 0.373 0.880
2 Ho 0.005 0.005 0.985
3 Tm 0.625 0.625 0.125
4 Tm 0.005 0.486 0.505
5 Tm 0.486 0.005 0.505
6 Tm 0.005 0.005 0.505
7 S 0.233 0.807 0.728
8 S 0.807 0.233 0.728
9 S 0.233 0.233 0.728
10 S 0.230 0.230 0.310
11 S 0.756 0.229 0.258
12 S 0.229 0.756 0.258
13 S 0.756 0.756 0.258
14 S 0.757 0.757 0.729

Summary:
E_tot (eV per atom): -5.92